DFT (GGA-PBE) results for a relaxed structure of ErHfAu.

Cell lengths 4.741, 4.741, 4.741 Å; angles 60.00, 60.00, 60.00 degrees
Fractional positions:
Er1 0.000 0.000 0.000
Hf1 0.250 0.250 0.250
Au1 0.750 0.750 0.750

Calculated values
Its total magnetization is 0.44 Bohr magnetons per cell. The formation energy is 0.629 eV per atom.